First-principles (GGA-PBE) data for a geometry-optimized Ti3SeN structure, as listed in Alexandria via LeMat-Bulk.

The calculation puts the energy above the most stable polymorph in this dataset at 0 meV per atom. The uncorrected formation energy comes out at -6.09 eV/f.u.

The structure belongs to space group Cmcm (No. 63); the cell edges are 3.241, 10.679 and 7.868 Å and the angles 90.00°, 90.00° and 90.00°. The asymmetric unit holds Ti at (0.000, 0.050, 0.250), Ti at (0.000, 0.375, 0.055), Se at (0.000, 0.260, 0.750) and N at (0.000, 0.000, 0.000).


First-principles (GGA-PBE) data for a geometry-optimized TiVSe2N structure, as listed in Alexandria via LeMat-Bulk.

The calculation puts the energy above the most stable polymorph in this dataset at 281 meV per atom. The uncorrected formation energy comes out at 0.92 eV/f.u.

The structure belongs to space group P4/mmm (No. 123); the cell edges are 5.037, 5.037 and 3.698 Å and the angles 90.00°, 90.00° and 90.00°. The asymmetric unit holds Ti at (0.000, 0.000, 0.000), V at (0.500, 0.500, 0.500), Se at (0.000, 0.500, 0.000) and N at (0.000, 0.000, 0.500).


First-principles (GGA-PBE) data for a geometry-optimized TiVSeN structure, as listed in Alexandria via LeMat-Bulk.

The calculation puts the energy above the most stable polymorph in this dataset at 263 meV per atom. The uncorrected formation energy comes out at -3.10 eV/f.u.

The structure belongs to space group Pmmm (No. 47); the cell edges are 3.596, 3.926 and 4.059 Å and the angles 90.00°, 90.00° and 90.00°. The asymmetric unit holds Ti at (0.000, 0.000, 0.000), V at (0.000, 0.500, 0.500), Se at (0.500, 0.500, 0.000) and N at (0.000, 0.000, 0.500).


First-principles (GGA-PBE) data for a geometry-optimized TiVSeN structure, as listed in Alexandria via LeMat-Bulk.

The calculation puts the energy above the most stable polymorph in this dataset at 24 meV per atom. The uncorrected formation energy comes out at -4.06 eV/f.u.

The structure belongs to space group R3m (No. 160, hexagonal axes); the cell edges are 3.2078, 3.2078 and 17.3056 Å and the angles 90.00°, 90.00° and 120.00°. The asymmetric unit holds Ti at (0.0000, 0.0000, 0.0000), V at (0.0000, 0.0000, 0.7788), Se at (0.0000, 0.0000, 0.2199) and N at (0.0000, 0.0000, 0.3937).


Number 1: D(E_F) 4.35 states/eV/f.u.. Number 2: D(E_F) 3.50 states/eV/f.u.. Number 3: D(E_F) 3.63 states/eV/f.u.. Number 4: D(E_F) 1.79 states/eV/f.u..